1.
Te2PdW | GGA-PBE | optimized geometry

Formation energy from raw total energies   771 meV/atom
Energy relative to the lowest polymorph listed for this composition   534.9 meV per atom
N(E_F)   4.680 states/eV/f.u.
Total magnetization   0.00 μB per formula unit

```
Te2PdW
1.0
3.249 0.000 0.000
-1.625 2.814 0.000
0.000 0.000 28.549
Te Pd W
6 3 3
direct
0.000 0.000 0.093
0.000 0.000 0.907
0.333 0.667 0.574
0.333 0.667 0.760
0.667 0.333 0.240
0.667 0.333 0.426
0.000 0.000 0.500
0.333 0.667 0.167
0.667 0.333 0.833
0.000 0.000 0.000
0.333 0.667 0.667
0.667 0.333 0.333
```

---

2.
CsLaPb | GGA-PBE | optimized geometry

N(E_F)   2.623 states/eV/f.u.
Energy of formation   -0.223 eV/atom
Total magnetization   0.00 μB per formula unit

```
CsLaPb
1.0
9.452 0.000 0.000
0.000 5.460 0.000
-3.175 0.000 12.854
Cs La Pb
4 4 4
direct
0.225 0.000 0.178
0.275 0.500 0.822
0.725 0.500 0.178
0.775 0.000 0.822
0.147 0.500 0.440
0.353 0.000 0.560
0.647 0.000 0.440
0.853 0.500 0.560
0.042 0.000 0.627
0.458 0.500 0.373
0.542 0.500 0.627
0.958 0.000 0.373
```

---

3.
Zn2GaAgS4 | GGA-PBE | optimized geometry

Formation energy from raw total energies   -649 meV/atom
Total magnetization   0.00 μB per formula unit

```
Zn2GaAgS4
1.0
5.597 0.000 0.000
0.000 5.597 0.000
0.000 0.000 10.772
Zn Ga Ag S
4 2 2 8
direct
0.000 0.500 0.250
0.000 0.500 0.750
0.500 0.000 0.250
0.500 0.000 0.750
0.000 0.000 0.000
0.500 0.500 0.500
0.000 0.000 0.500
0.500 0.500 0.000
0.232 0.232 0.871
0.232 0.768 0.129
0.268 0.268 0.371
0.268 0.732 0.629
0.732 0.268 0.629
0.732 0.732 0.371
0.768 0.232 0.129
0.768 0.768 0.871
```

---

Please write out number 1 again, unchanged.
Te2PdW | GGA-PBE | optimized geometry

Formation energy from raw total energies   771 meV/atom
Energy relative to the lowest polymorph listed for this composition   534.9 meV per atom
N(E_F)   4.680 states/eV/f.u.
Total magnetization   0.00 μB per formula unit

```
Te2PdW
1.0
3.249 0.000 0.000
-1.625 2.814 0.000
0.000 0.000 28.549
Te Pd W
6 3 3
direct
0.000 0.000 0.093
0.000 0.000 0.907
0.333 0.667 0.574
0.333 0.667 0.760
0.667 0.333 0.240
0.667 0.333 0.426
0.000 0.000 0.500
0.333 0.667 0.167
0.667 0.333 0.833
0.000 0.000 0.000
0.333 0.667 0.667
0.667 0.333 0.333
```

---

- Which formula does entry 2 have?
  CsLaPb

---

- Number 2 is which compound?
  CsLaPb